The following is a SCAN calculation of K2Ba3 at its PBEsol-relaxed geometry, from Alexandria via LeMat-Bulk.

Geometry as POSCAR:
```
K2Ba3
1.0
-1.5645 2.1223 3.5253
-4.2061 1.2952 0.1022
-6.7868 -15.2638 8.9258
K Ba
2 3
direct
0.5996 0.5996 0.2012
0.4004 0.4004 0.7988
0.8018 0.8018 0.5946
0.1982 0.1982 0.4054
0.0000 0.0000 0.0000
```

Output
Theoretical density   2.6 g/cm3
Formation energy from the elements   0.0847 eV per atom
Space-group type   R-3m, No. 166
Total DFT energy (no corrections)   -26.98 eV/atom
Total magnetic moment   0.02 μB per atom